No. 1
LiCd2Au (GGA-PBE, relaxed); DFT formation energy = -0.226 eV per atom; space-group type = C2/m, No. 12; ΔE to the lowest computed polymorph = 0.112 eV per atom
1.0
2.878 -4.753 0.000
2.878 4.753 0.000
-1.045 0.000 2.791
Li Cd Au
1 2 1
Direct
0.000 0.000 0.000 Li
0.000 0.500 0.500 Cd
0.500 0.000 0.500 Cd
0.500 0.500 0.000 Au



No. 2
Li2CdAu2 (GGA-PBE, relaxed); DFT formation energy = -0.427 eV per atom; space-group type = P4/mbm, No. 127; ΔE to the lowest computed polymorph = 0.007 eV per atom
1.0
7.481 0.000 0.000
0.000 7.481 0.000
0.000 0.000 3.133
Li Cd Au
4 2 4
Direct
0.158 0.342 0.000 Li
0.342 0.842 0.000 Li
0.658 0.158 0.000 Li
0.842 0.658 0.000 Li
0.000 0.000 0.500 Cd
0.500 0.500 0.500 Cd
0.138 0.638 0.500 Au
0.362 0.138 0.500 Au
0.638 0.862 0.500 Au
0.862 0.362 0.500 Au



No. 3
Li5Cd2Au5 (GGA-PBE, relaxed); DFT formation energy = -0.444 eV per atom; space-group type = C2/m, No. 12; ΔE to the lowest computed polymorph = 0.000 eV per atom
1.0
6.369 -1.987 0.000
6.369 1.987 0.000
-4.426 0.000 8.055
Li Cd Au
5 2 5
Direct
0.000 0.000 0.000 Li
0.081 0.081 0.761 Li
0.245 0.245 0.227 Li
0.755 0.755 0.773 Li
0.919 0.919 0.239 Li
0.164 0.164 0.509 Cd
0.836 0.836 0.491 Cd
0.335 0.335 0.004 Au
0.415 0.415 0.757 Au
0.500 0.500 0.500 Au
0.585 0.585 0.243 Au
0.665 0.665 0.996 Au



No. 4
Li5Cd2Au4 (GGA-PBE, relaxed); DFT formation energy = -0.391 eV per atom; space-group type = P2/m, No. 10
1.0
7.595 0.000 0.000
0.000 2.855 0.000
-2.850 0.000 8.833
Li Cd Au
5 2 4
Direct
0.000 0.000 0.000 Li
0.001 0.000 0.335 Li
0.409 0.000 0.106 Li
0.591 0.000 0.894 Li
0.999 0.000 0.665 Li
0.345 0.000 0.590 Cd
0.655 0.000 0.410 Cd
0.262 0.500 0.858 Au
0.272 0.500 0.288 Au
0.728 0.500 0.712 Au
0.738 0.500 0.142 Au



No. 5
LiCdAu2 (GGA-PBE, relaxed); DFT formation energy = -0.234 eV per atom; space-group type = Cmm2, No. 35
1.0
2.093 -2.097 0.000
2.093 2.097 0.000
0.000 0.000 8.154
Li Cd Au
1 1 2
Direct
0.000 0.000 0.000 Li
0.500 0.500 0.740 Cd
0.000 0.000 0.474 Au
0.500 0.500 0.209 Au



No. 6
Li3CdAu4 (GGA-PBE, relaxed); DFT formation energy = -0.456 eV per atom; space-group type = Pmma, No. 51; ΔE to the lowest computed polymorph = 0.000 eV per atom
1.0
9.129 0.000 0.000
0.000 6.329 0.000
0.000 0.000 4.615
Li Cd Au
6 2 8
Direct
0.000 0.000 0.000 Li
0.250 0.000 0.436 Li
0.250 0.500 0.448 Li
0.500 0.000 0.000 Li
0.750 0.000 0.564 Li
0.750 0.500 0.552 Li
0.000 0.500 0.000 Cd
0.500 0.500 0.000 Cd
0.000 0.231 0.500 Au
0.000 0.769 0.500 Au
0.250 0.232 0.934 Au
0.250 0.768 0.934 Au
0.500 0.231 0.500 Au
0.500 0.769 0.500 Au
0.750 0.232 0.066 Au
0.750 0.768 0.066 Au



No. 7
LiCd3Au (GGA-PBE, relaxed); DFT formation energy = 0.054 eV per atom; space-group type = Pm-3m, No. 221; ΔE to the lowest computed polymorph = 0.313 eV per atom
1.0
5.295 0.000 0.000
0.000 5.295 0.000
0.000 0.000 5.295
Li Cd Au
1 3 1
Direct
0.000 0.000 0.000 Li
0.000 0.500 0.500 Cd
0.500 0.000 0.500 Cd
0.500 0.500 0.000 Cd
0.500 0.500 0.500 Au



No. 8
Li2CdAu (GGA-PBE, relaxed); DFT formation energy = -0.270 eV per atom; space-group type = R3m, No. 160; ΔE to the lowest computed polymorph = 0.152 eV per atom
1.0
1.517 0.876 8.972
-1.517 0.876 8.972
0.000 -1.751 8.972
Li Cd Au
2 1 1
Direct
0.000 0.000 0.000 Li
0.180 0.180 0.180 Li
0.757 0.757 0.757 Cd
0.590 0.590 0.590 Au



| no. | total energy (eV for the cell shown) | magnetization (μB per atom) |
| --- | --- | --- |
| 1 | -7.93 | 0.00 |
| 2 | -26.87 | 0.00 |
| 3 | -33.12 | 0.00 |
| 4 | -28.81 | 0.00 |
| 5 | -10.32 | 0.00 |
| 6 | -46.83 | 0.00 |
| 7 | -7.67 | 0.00 |
| 8 | -9.10 | 0.00 |